*i*
# Hf2CdTe, optimized geometry, DFT PBE-GGA
# **M_tot**: 0.000 Bohr magnetons per cell
# **DOS at the Fermi energy**: 2.78 states/eV/f.u.
data_Hf2CdTe
_space_group_name_H-M_alt 'F m -3 m'
_space_group_IT_number 225
_space_group_name_Hall '-F 4 2 3'
_cell_length_a 7.051
_cell_length_b 7.051
_cell_length_c 7.051
_cell_angle_alpha 90.00
_cell_angle_beta 90.00
_cell_angle_gamma 90.00
loop_
_atom_site_label
_atom_site_fract_x
_atom_site_fract_y
_atom_site_fract_z
Hf1 0.250 0.250 0.250
Cd1 0.000 0.000 0.000
Te1 0.000 0.000 0.500

---

*ii*
# Hf2CdTe, optimized geometry, DFT PBE-GGA
# **M_tot**: 0.000 Bohr magnetons per cell
# **DOS at the Fermi energy**: 2.75 states/eV/f.u.
data_Hf2CdTe
_space_group_name_H-M_alt 'I -4 2 d'
_space_group_IT_number 122
_space_group_name_Hall 'I -4 2bw'
_cell_length_a 4.303
_cell_length_b 4.303
_cell_length_c 21.180
_cell_angle_alpha 90.00
_cell_angle_beta 90.00
_cell_angle_gamma 90.00
loop_
_atom_site_label
_atom_site_fract_x
_atom_site_fract_y
_atom_site_fract_z
Hf1 0.247 0.250 0.125
Cd1 0.000 0.000 0.500
Te1 0.000 0.000 0.000

---

Which of them is the most stable, and which is the least stable? *i* and *ii*, in that order.

---

*i*
# Hf2Cd2Te, optimized geometry, DFT PBE-GGA
# **M_tot**: 0.000 Bohr magnetons per cell
# **DOS at the Fermi energy**: 2.42 states/eV/f.u.
data_Hf2Cd2Te
_space_group_name_H-M_alt 'P 4/m b m'
_space_group_IT_number 127
_space_group_name_Hall '-P 4 2ab'
_cell_length_a 7.291
_cell_length_b 7.291
_cell_length_c 4.527
_cell_angle_alpha 90.00
_cell_angle_beta 90.00
_cell_angle_gamma 90.00
loop_
_atom_site_label
_atom_site_fract_x
_atom_site_fract_y
_atom_site_fract_z
Hf1 0.150 0.350 0.000
Cd1 0.147 0.647 0.500
Te1 0.000 0.000 0.000

---

*ii*
# Hf2Cd2Te, optimized geometry, DFT PBE-GGA
# **M_tot**: 0.000 Bohr magnetons per cell
# **DOS at the Fermi energy**: 2.85 states/eV/f.u.
data_Hf2Cd2Te
_space_group_name_H-M_alt 'P 4/m b m'
_space_group_IT_number 127
_space_group_name_Hall '-P 4 2ab'
_cell_length_a 7.779
_cell_length_b 7.779
_cell_length_c 3.835
_cell_angle_alpha 90.00
_cell_angle_beta 90.00
_cell_angle_gamma 90.00
loop_
_atom_site_label
_atom_site_fract_x
_atom_site_fract_y
_atom_site_fract_z
Hf1 0.172 0.328 0.000
Cd1 0.127 0.627 0.500
Te1 0.000 0.000 0.500

---

*iii*
# Hf2Cd2Te, optimized geometry, DFT PBE-GGA
# **M_tot**: 0.000 Bohr magnetons per cell
# **DOS at the Fermi energy**: 4.46 states/eV/f.u.
data_Hf2Cd2Te
_space_group_name_H-M_alt 'I 4/m m m'
_space_group_IT_number 139
_space_group_name_Hall '-I 4 2'
_cell_length_a 4.068
_cell_length_b 4.068
_cell_length_c 15.409
_cell_angle_alpha 90.00
_cell_angle_beta 90.00
_cell_angle_gamma 90.00
loop_
_atom_site_label
_atom_site_fract_x
_atom_site_fract_y
_atom_site_fract_z
Hf1 0.000 0.500 0.250
Cd1 0.000 0.000 0.096
Te1 0.000 0.000 0.500

---

Which of them is the most stable, and which is the least stable? *i* and *iii*, in that order.

---

*i*
# Hf2ThCd, optimized geometry, DFT PBE-GGA
# **M_tot**: 0.000 Bohr magnetons per cell
# **DOS at the Fermi energy**: 3.46 states/eV/f.u.
data_Hf2ThCd
_space_group_name_H-M_alt 'P 4/m m m'
_space_group_IT_number 123
_space_group_name_Hall '-P 4 2'
_cell_length_a 3.382
_cell_length_b 3.382
_cell_length_c 8.561
_cell_angle_alpha 90.00
_cell_angle_beta 90.00
_cell_angle_gamma 90.00
loop_
_atom_site_label
_atom_site_fract_x
_atom_site_fract_y
_atom_site_fract_z
Hf1 0.000 0.000 0.228
Th1 0.500 0.500 0.500
Cd1 0.500 0.500 0.000

---

*ii*
# Hf2ThCd, optimized geometry, DFT PBE-GGA
# **M_tot**: 0.000 Bohr magnetons per cell
# **DOS at the Fermi energy**: 5.58 states/eV/f.u.
data_Hf2ThCd
_space_group_name_H-M_alt 'R -3 m'
_space_group_IT_number 166
_space_group_name_Hall '-R 3 2"'
_cell_length_a 3.1709
_cell_length_b 3.1709
_cell_length_c 34.2193
_cell_angle_alpha 90.00
_cell_angle_beta 90.00
_cell_angle_gamma 120.00
loop_
_atom_site_label
_atom_site_fract_x
_atom_site_fract_y
_atom_site_fract_z
Hf1 0.0000 0.0000 0.0916
Th1 0.0000 0.0000 0.0000
Cd1 0.0000 0.0000 0.5000

---

Which of them is the most stable, and which is the least stable? *i* and *ii*, in that order.

---

*i*
# HfTiCd, optimized geometry, DFT PBE-GGA
# **M_tot**: 0.001 Bohr magnetons per cell
# **DOS at the Fermi energy**: 3.10 states/eV/f.u.
data_HfTiCd
_space_group_name_H-M_alt 'C 1 2/m 1'
_space_group_IT_number 12
_space_group_name_Hall '-C 2y'
_cell_length_a 10.169
_cell_length_b 3.014
_cell_length_c 8.297
_cell_angle_alpha 90.00
_cell_angle_beta 95.82
_cell_angle_gamma 90.00
loop_
_atom_site_label
_atom_site_fract_x
_atom_site_fract_y
_atom_site_fract_z
Hf1 0.127 0.000 0.420
Ti1 0.117 0.500 0.720
Cd1 0.137 0.500 0.089

---

*ii*
# HfTiCd, optimized geometry, DFT PBE-GGA
# **M_tot**: 0.000 Bohr magnetons per cell
# **DOS at the Fermi energy**: 3.30 states/eV/f.u.
data_HfTiCd
_space_group_name_H-M_alt 'P 4/n m m'
_space_group_IT_number 129
_cell_length_a 3.009
_cell_length_b 3.009
_cell_length_c 13.398
_cell_angle_alpha 90.00
_cell_angle_beta 90.00
_cell_angle_gamma 90.00
loop_
_space_group_symop_operation_xyz
'x,y,z'
'-x,-y,-z'
'-y+1/2,x,z'
'y+1/2,-x,-z'
'-x+1/2,-y+1/2,z'
'x+1/2,y+1/2,-z'
'y,-x+1/2,z'
'-y,x+1/2,-z'
'x+1/2,-y,-z'
'-x+1/2,y,z'
'-y,-x,-z'
'y,x,z'
'-x,y+1/2,-z'
'x,-y+1/2,z'
'y+1/2,x+1/2,-z'
'-y+1/2,-x+1/2,z'
loop_
_atom_site_label
_atom_site_fract_x
_atom_site_fract_y
_atom_site_fract_z
Hf1 0.250 0.250 0.231
Ti1 0.250 0.250 0.925
Cd1 0.250 0.250 0.588

---

*iii*
# HfTiCd, optimized geometry, DFT PBE-GGA
# **M_tot**: 0.000 Bohr magnetons per cell
# **DOS at the Fermi energy**: 1.81 states/eV/f.u.
data_HfTiCd
_space_group_name_H-M_alt 'P 3 m 1'
_space_group_IT_number 156
_space_group_name_Hall 'P 3 -2"'
_cell_length_a 3.1315
_cell_length_b 3.1315
_cell_length_c 7.3261
_cell_angle_alpha 90.00
_cell_angle_beta 90.00
_cell_angle_gamma 120.00
loop_
_atom_site_label
_atom_site_fract_x
_atom_site_fract_y
_atom_site_fract_z
Hf1 0.0000 0.0000 0.0000
Ti1 0.3333 0.6667 0.6912
Cd1 0.6667 0.3333 0.3571

---

Which of them is the most stable, and which is the least stable? *ii* and *i*, in that order.

---

*i*
# HfTi3Cd, optimized geometry, DFT PBE-GGA
# **M_tot**: 3.762 Bohr magnetons per cell
# **DOS at the Fermi energy**: 6.25 states/eV/f.u.
data_HfTi3Cd
_space_group_name_H-M_alt 'P m -3 m'
_space_group_IT_number 221
_space_group_name_Hall '-P 4 2 3'
_cell_length_a 4.928
_cell_length_b 4.928
_cell_length_c 4.928
_cell_angle_alpha 90.00
_cell_angle_beta 90.00
_cell_angle_gamma 90.00
loop_
_atom_site_label
_atom_site_fract_x
_atom_site_fract_y
_atom_site_fract_z
Hf1 0.000 0.000 0.000
Ti1 0.000 0.500 0.500
Cd1 0.500 0.500 0.500

---

*ii*
# HfTi3Cd, optimized geometry, DFT PBE-GGA
# **M_tot**: 0.001 Bohr magnetons per cell
# **DOS at the Fermi energy**: 6.11 states/eV/f.u.
data_HfTi3Cd
_space_group_name_H-M_alt 'P m m a'
_space_group_IT_number 51
_space_group_name_Hall '-P 2a 2a'
_cell_length_a 7.061
_cell_length_b 2.991
_cell_length_c 9.288
_cell_angle_alpha 90.00
_cell_angle_beta 90.00
_cell_angle_gamma 90.00
loop_
_atom_site_label
_atom_site_fract_x
_atom_site_fract_y
_atom_site_fract_z
Hf1 0.000 0.000 0.000
Ti1 0.071 0.500 0.292
Ti2 0.250 0.500 0.807
Cd1 0.250 0.000 0.535

---

Which of them is the most stable, and which is the least stable? *ii* and *i*, in that order.

---

*i*
# Hf2Ti2Cd, optimized geometry, DFT PBE-GGA
# **M_tot**: 0.000 Bohr magnetons per cell
# **DOS at the Fermi energy**: 4.39 states/eV/f.u.
data_Hf2Ti2Cd
_space_group_name_H-M_alt 'C m c m'
_space_group_IT_number 63
_space_group_name_Hall '-C 2c 2'
_cell_length_a 16.903
_cell_length_b 4.956
_cell_length_c 4.788
_cell_angle_alpha 90.00
_cell_angle_beta 90.00
_cell_angle_gamma 90.00
loop_
_atom_site_label
_atom_site_fract_x
_atom_site_fract_y
_atom_site_fract_z
Hf1 0.110 0.221 0.250
Ti1 0.210 0.317 0.750
Cd1 0.000 0.291 0.750

---

*ii*
# Hf2Ti2Cd, optimized geometry, DFT PBE-GGA
# **M_tot**: 0.000 Bohr magnetons per cell
# **DOS at the Fermi energy**: 12.29 states/eV/f.u.
data_Hf2Ti2Cd
_space_group_name_H-M_alt 'P 4/m b m'
_space_group_IT_number 127
_space_group_name_Hall '-P 4 2ab'
_cell_length_a 7.284
_cell_length_b 7.284
_cell_length_c 3.821
_cell_angle_alpha 90.00
_cell_angle_beta 90.00
_cell_angle_gamma 90.00
loop_
_atom_site_label
_atom_site_fract_x
_atom_site_fract_y
_atom_site_fract_z
Hf1 0.160 0.340 0.000
Ti1 0.132 0.632 0.500
Cd1 0.000 0.000 0.500

---

*iii*
# Hf2Ti2Cd, optimized geometry, DFT PBE-GGA
# **M_tot**: 0.000 Bohr magnetons per cell
# **DOS at the Fermi energy**: 5.52 states/eV/f.u.
data_Hf2Ti2Cd
_space_group_name_H-M_alt 'P 4/m b m'
_space_group_IT_number 127
_space_group_name_Hall '-P 4 2ab'
_cell_length_a 7.606
_cell_length_b 7.606
_cell_length_c 3.594
_cell_angle_alpha 90.00
_cell_angle_beta 90.00
_cell_angle_gamma 90.00
loop_
_atom_site_label
_atom_site_fract_x
_atom_site_fract_y
_atom_site_fract_z
Hf1 0.135 0.365 0.000
Ti1 0.158 0.658 0.500
Cd1 0.000 0.000 0.000

---

Which of them is the most stable, and which is the least stable? *i* and *iii*, in that order.